Computed, not measured: crystalline Ac4Rh3F at its relaxed geometry at the PBE-GGA level of DFT.

Properties
The symmetry is No. 8. The value obtained for the total energy is -49.73 eV per cell. Its formation energy from raw total energies is -1.17 eV per atom.

Geometry as CIF:
```
data_Ac4Rh3F
_cell_length_a 7.324
_cell_length_b 7.324
_cell_length_c 4.300
_cell_angle_alpha 90.00
_cell_angle_beta 90.00
_cell_angle_gamma 108.85
_symmetry_space_group_name_H-M 'P 1'
_symmetry_Int_Tables_number 1
loop_
_symmetry_equiv_pos_as_xyz
'x,y,z'
loop_
_atom_site_label
_atom_site_fract_x
_atom_site_fract_y
_atom_site_fract_z
_atom_site_occupancy
Ac1 0.000 0.000 0.000 1
Ac2 0.010 0.504 0.500 1
Ac3 0.504 0.010 0.500 1
Ac4 0.516 0.516 0.000 1
Rh1 0.257 0.757 0.000 1
Rh2 0.757 0.257 0.000 1
Rh3 0.757 0.757 0.500 1
F1 0.256 0.256 0.501 1
```


Computed, not measured: crystalline CeLuU at its relaxed geometry at the PBE-GGA level of DFT.

Properties
The symmetry is No. 107. The value obtained for the total energy is -20.92 eV per cell. The value obtained for the energy of formation is 276 meV/atom.

Geometry as CIF:
```
data_CeLuU
_cell_length_a 8.109
_cell_length_b 8.109
_cell_length_c 8.109
_cell_angle_alpha 157.79
_cell_angle_beta 157.79
_cell_angle_gamma 31.61
_symmetry_space_group_name_H-M 'P 1'
_symmetry_Int_Tables_number 1
loop_
_symmetry_equiv_pos_as_xyz
'x,y,z'
loop_
_atom_site_label
_atom_site_fract_x
_atom_site_fract_y
_atom_site_fract_z
_atom_site_occupancy
Ce1 0.000 0.000 0.000 1
Lu1 0.687 0.687 0.000 1
U1 0.346 0.346 0.000 1
```


Computed, not measured: crystalline LaSeCl2 at its relaxed geometry at the PBE-GGA level of DFT.

Properties
As for the offset from the most stable computed form: 218 meV per atom. The symmetry is No. 123. The value obtained for the total energy is -17.95 eV per cell. Its formation energy from raw total energies is -1.46 eV per atom.

Geometry as CIF:
```
data_LaSeCl2
_cell_length_a 4.537
_cell_length_b 4.537
_cell_length_c 4.624
_cell_angle_alpha 90.00
_cell_angle_beta 90.00
_cell_angle_gamma 90.00
_symmetry_space_group_name_H-M 'P 1'
_symmetry_Int_Tables_number 1
loop_
_symmetry_equiv_pos_as_xyz
'x,y,z'
loop_
_atom_site_label
_atom_site_fract_x
_atom_site_fract_y
_atom_site_fract_z
_atom_site_occupancy
La1 0.000 0.000 0.000 1
Se1 0.500 0.500 0.000 1
Cl1 0.000 0.500 0.500 1
Cl2 0.500 0.000 0.500 1
```


Computed, not measured: crystalline KInIr at its relaxed geometry at the PBE-GGA level of DFT.

Properties
As for the offset from the most stable computed form: 0 meV per atom. The symmetry is No. 129. The value obtained for the total energy is -24.53 eV per cell. The value obtained for the energy of formation is 143 meV/atom.

Geometry as CIF:
```
data_KInIr
_cell_length_a 4.740
_cell_length_b 4.740
_cell_length_c 7.781
_cell_angle_alpha 90.00
_cell_angle_beta 90.00
_cell_angle_gamma 90.00
_symmetry_space_group_name_H-M 'P 1'
_symmetry_Int_Tables_number 1
loop_
_symmetry_equiv_pos_as_xyz
'x,y,z'
loop_
_atom_site_label
_atom_site_fract_x
_atom_site_fract_y
_atom_site_fract_z
_atom_site_occupancy
K1 0.250 0.250 0.176 1
K2 0.750 0.750 0.824 1
In1 0.250 0.250 0.657 1
In2 0.750 0.750 0.343 1
Ir1 0.250 0.750 0.500 1
Ir2 0.750 0.250 0.500 1
```


Computed, not measured: crystalline GaGeTe2 at its relaxed geometry at the PBE-GGA level of DFT.

Properties
As for the offset from the most stable computed form: 0 meV per atom. The symmetry is No. 6. The value obtained for the total energy is -14.46 eV per cell. Its formation energy from raw total energies is -0.13 eV per atom.

Geometry as CIF:
```
data_GaGeTe2
_cell_length_a 4.278
_cell_length_b 5.751
_cell_length_c 4.407
_cell_angle_alpha 90.00
_cell_angle_beta 90.22
_cell_angle_gamma 90.00
_symmetry_space_group_name_H-M 'P 1'
_symmetry_Int_Tables_number 1
loop_
_symmetry_equiv_pos_as_xyz
'x,y,z'
loop_
_atom_site_label
_atom_site_fract_x
_atom_site_fract_y
_atom_site_fract_z
_atom_site_occupancy
Ga1 0.000 0.000 0.000 1
Ge1 0.492 0.500 0.649 1
Te1 0.497 0.000 0.566 1
Te2 0.996 0.500 0.096 1
```


Computed, not measured: crystalline Tl3PAu4 at its relaxed geometry at the PBE-GGA level of DFT.

Properties
The symmetry is No. 44. The value obtained for the total energy is -25.84 eV per cell. The value obtained for the energy of formation is -27 meV/atom.

Geometry as CIF:
```
data_Tl3PAu4
_cell_length_a 6.524
_cell_length_b 6.524
_cell_length_c 6.524
_cell_angle_alpha 118.77
_cell_angle_beta 98.40
_cell_angle_gamma 111.87
_symmetry_space_group_name_H-M 'P 1'
_symmetry_Int_Tables_number 1
loop_
_symmetry_equiv_pos_as_xyz
'x,y,z'
loop_
_atom_site_label
_atom_site_fract_x
_atom_site_fract_y
_atom_site_fract_z
_atom_site_occupancy
Tl1 0.000 0.000 0.000 1
Tl2 0.033 0.311 0.722 1
Tl3 0.588 0.311 0.278 1
P1 0.391 0.891 0.500 1
Au1 0.463 0.727 0.736 1
Au2 0.573 0.367 0.794 1
Au3 0.573 0.779 0.206 1
Au4 0.990 0.727 0.264 1
```


Computed, not measured: crystalline Pr2Er3Pb4 at its relaxed geometry at the PBE-GGA level of DFT.

Properties
As for the offset from the most stable computed form: 127 meV per atom. The symmetry is No. 64. The value obtained for the total energy is -84.37 eV per cell. The value obtained for the energy of formation is -456 meV/atom.

Geometry as CIF:
```
data_Pr2Er3Pb4
_cell_length_a 9.389
_cell_length_b 9.389
_cell_length_c 9.020
_cell_angle_alpha 90.00
_cell_angle_beta 90.00
_cell_angle_gamma 135.41
_symmetry_space_group_name_H-M 'P 1'
_symmetry_Int_Tables_number 1
loop_
_symmetry_equiv_pos_as_xyz
'x,y,z'
loop_
_atom_site_label
_atom_site_fract_x
_atom_site_fract_y
_atom_site_fract_z
_atom_site_occupancy
Pr1 0.111 0.889 0.912 1
Pr2 0.389 0.611 0.412 1
Pr3 0.611 0.389 0.588 1
Pr4 0.889 0.111 0.088 1
Er1 0.000 0.000 0.500 1
Er2 0.043 0.457 0.750 1
Er3 0.457 0.043 0.250 1
Er4 0.500 0.500 0.000 1
Er5 0.543 0.957 0.750 1
Er6 0.957 0.543 0.250 1
Pb1 0.186 0.814 0.554 1
Pb2 0.217 0.283 0.750 1
Pb3 0.283 0.217 0.250 1
Pb4 0.314 0.686 0.054 1
Pb5 0.686 0.314 0.946 1
Pb6 0.717 0.783 0.750 1
Pb7 0.783 0.717 0.250 1
Pb8 0.814 0.186 0.446 1
```


Computed, not measured: crystalline NdPaPd at its relaxed geometry at the PBE-GGA level of DFT.

Properties
As for the offset from the most stable computed form: 0 meV per atom. The symmetry is No. 2. The value obtained for the total energy is -40.52 eV per cell. The value obtained for the energy of formation is -269 meV/atom.

Geometry as CIF:
```
data_NdPaPd
_cell_length_a 3.585
_cell_length_b 5.063
_cell_length_c 8.356
_cell_angle_alpha 78.58
_cell_angle_beta 89.88
_cell_angle_gamma 84.70
_symmetry_space_group_name_H-M 'P 1'
_symmetry_Int_Tables_number 1
loop_
_symmetry_equiv_pos_as_xyz
'x,y,z'
loop_
_atom_site_label
_atom_site_fract_x
_atom_site_fract_y
_atom_site_fract_z
_atom_site_occupancy
Nd1 0.192 0.293 0.381 1
Nd2 0.808 0.707 0.619 1
Pa1 0.180 0.728 0.961 1
Pa2 0.820 0.272 0.039 1
Pd1 0.428 0.193 0.754 1
Pd2 0.572 0.807 0.246 1
```


Computed, not measured: crystalline PuZr6Zn5 at its relaxed geometry at the PBE-GGA level of DFT.

Properties
The symmetry is No. 71. The value obtained for the total energy is -73.98 eV per cell. The value obtained for the energy of formation is -166 meV/atom.

Geometry as CIF:
```
data_PuZr6Zn5
_cell_length_a 8.268
_cell_length_b 8.268
_cell_length_c 8.268
_cell_angle_alpha 146.20
_cell_angle_beta 131.79
_cell_angle_gamma 60.18
_symmetry_space_group_name_H-M 'P 1'
_symmetry_Int_Tables_number 1
loop_
_symmetry_equiv_pos_as_xyz
'x,y,z'
loop_
_atom_site_label
_atom_site_fract_x
_atom_site_fract_y
_atom_site_fract_z
_atom_site_occupancy
Pu1 0.000 0.000 0.000 1
Zr1 0.084 0.833 0.251 1
Zr2 0.254 0.500 0.754 1
Zr3 0.417 0.167 0.251 1
Zr4 0.583 0.833 0.749 1
Zr5 0.746 0.500 0.246 1
Zr6 0.916 0.167 0.749 1
Zn1 0.165 0.665 0.500 1
Zn2 0.332 0.332 0.000 1
Zn3 0.500 0.000 0.500 1
Zn4 0.668 0.668 0.000 1
Zn5 0.835 0.335 0.500 1
```


Computed, not measured: crystalline Li2SbAsO6 at its relaxed geometry at the PBE-GGA level of DFT.

Properties
The symmetry is No. 99. The value obtained for the total energy is -55.93 eV per cell. Its formation energy from raw total energies is -1.36 eV per atom.

Geometry as CIF:
```
data_Li2SbAsO6
_cell_length_a 5.078
_cell_length_b 5.078
_cell_length_c 4.843
_cell_angle_alpha 90.00
_cell_angle_beta 90.00
_cell_angle_gamma 90.00
_symmetry_space_group_name_H-M 'P 1'
_symmetry_Int_Tables_number 1
loop_
_symmetry_equiv_pos_as_xyz
'x,y,z'
loop_
_atom_site_label
_atom_site_fract_x
_atom_site_fract_y
_atom_site_fract_z
_atom_site_occupancy
Li1 0.000 0.500 0.000 1
Li2 0.500 0.000 0.000 1
Sb1 0.000 0.000 0.612 1
As1 0.500 0.500 0.628 1
O1 0.000 0.000 0.227 1
O2 0.259 0.259 0.769 1
O3 0.259 0.741 0.769 1
O4 0.500 0.500 0.283 1
O5 0.741 0.259 0.769 1
O6 0.741 0.741 0.769 1
```


Computed, not measured: crystalline Mn2AsRh at its relaxed geometry at the PBE-GGA level of DFT.

Properties
The symmetry is No. 160. The value obtained for the total energy is -30.08 eV per cell. The value obtained for the energy of formation is 66 meV/atom.

Geometry as CIF:
```
data_Mn2AsRh
_cell_length_a 8.159
_cell_length_b 8.159
_cell_length_c 8.159
_cell_angle_alpha 20.08
_cell_angle_beta 20.08
_cell_angle_gamma 20.08
_symmetry_space_group_name_H-M 'P 1'
_symmetry_Int_Tables_number 1
loop_
_symmetry_equiv_pos_as_xyz
'x,y,z'
loop_
_atom_site_label
_atom_site_fract_x
_atom_site_fract_y
_atom_site_fract_z
_atom_site_occupancy
Mn1 0.000 0.000 0.000 1
Mn2 0.254 0.254 0.254 1
As1 0.749 0.749 0.749 1
Rh1 0.499 0.499 0.499 1
```


Computed, not measured: crystalline LaOsSe2 at its relaxed geometry at the PBE-GGA level of DFT.

Properties
As for the offset from the most stable computed form: 41 meV per atom. The symmetry is No. 166. The value obtained for the total energy is -25.77 eV per cell. Its formation energy from raw total energies is -0.66 eV per atom.

Geometry as CIF:
```
data_LaOsSe2
_cell_length_a 6.076
_cell_length_b 6.076
_cell_length_c 6.076
_cell_angle_alpha 40.20
_cell_angle_beta 40.20
_cell_angle_gamma 40.20
_symmetry_space_group_name_H-M 'P 1'
_symmetry_Int_Tables_number 1
loop_
_symmetry_equiv_pos_as_xyz
'x,y,z'
loop_
_atom_site_label
_atom_site_fract_x
_atom_site_fract_y
_atom_site_fract_z
_atom_site_occupancy
La1 0.000 0.000 0.000 1
Os1 0.500 0.500 0.500 1
Se1 0.226 0.226 0.226 1
Se2 0.774 0.774 0.774 1
```